The following is a GGA-PBE calculation of a relaxed structure of Y2Zr2Ir, from the Alexandria database.

Cell lengths 7.028, 7.028, 5.160 Å; angles 90.00, 90.00, 90.00 degrees
Fractional positions:
Y  0.157  0.343  0.000
Y  0.843  0.657  0.000
Y  0.343  0.843  0.000
Y  0.657  0.157  0.000
Ir  0.500  0.500  0.000
Ir  0.000  0.000  0.000
Zr  0.652  0.848  0.500
Zr  0.152  0.652  0.500
Zr  0.348  0.152  0.500
Zr  0.848  0.348  0.500

* size of the total moment: 0.00 μB per formula unit
* distance to the lowest polymorph of the same formula: 370 meV per atom
* calculated volume: 255 Å³ per cell
* space group: P4/mbm, No. 127
* ΔE_f: 12.9 kJ per mole of atoms